No. 1
# LaSnTe2Ru, optimized geometry, DFT GGA-PBEsol
# - Total magnetization: 0.0 μB/f.u.
# - V: 27.6 Å³ per atom
# - DFT total energy: -5.590 eV/atom
data_LaSnTe2Ru
_chemical_formula_sum 'La1 Sn1 Te2 Ru1'
_symmetry_space_group_name_H-M 'P 1'
_symmetry_Int_Tables_number 1
_symmetry_space_group_name_Hall 'P 1'
_cell_length_a 5.066
_cell_length_b 5.219
_cell_length_c 5.219
_cell_angle_alpha 90.00
_cell_angle_beta 90.00
_cell_angle_gamma 90.00
loop_
_atom_site_label
_atom_site_fract_x
_atom_site_fract_y
_atom_site_fract_z
Sn1 0.500 0.500 0.500
La1 0.500 0.000 0.000
Ru1 0.000 0.000 0.000
Te1 0.000 0.000 0.500
Te2 0.000 0.500 0.000

---

No. 2
# Sr2LaRu, optimized geometry, DFT GGA-PBEsol
# - Total magnetization: 0.0 μB/f.u.
# - ΔE_f: 0.116 eV per atom
# - V: 33.7 Å³ per atom
# - DFT total energy: -4.684 eV/atom
# - Energy relative to the lowest polymorph listed for this composition: 0.0 kJ per mole of atoms
data_Sr2LaRu
_chemical_formula_sum 'Sr2 La1 Ru1'
_symmetry_space_group_name_H-M 'P 1'
_symmetry_Int_Tables_number 1
_symmetry_space_group_name_Hall 'P 1'
_cell_length_a 3.586
_cell_length_b 3.709
_cell_length_c 10.155
_cell_angle_alpha 90.00
_cell_angle_beta 94.72
_cell_angle_gamma 90.00
loop_
_atom_site_label
_atom_site_fract_x
_atom_site_fract_y
_atom_site_fract_z
Ru1 0.439 0.500 0.725
Sr1 0.529 0.500 0.267
La1 0.085 0.000 0.586
Sr2 0.947 0.000 0.922

---

No. 3
# SrLa2Ru, optimized geometry, DFT GGA-PBEsol
# - Total magnetization: 0.0 μB/f.u.
# - ΔE_f: -0.099 eV per atom
# - V: 35.8 Å³ per atom
# - DFT total energy: -5.775 eV/atom
# - Energy relative to the lowest polymorph listed for this composition: 0.0 kJ per mole of atoms
data_SrLa2Ru
_chemical_formula_sum 'Sr1 La2 Ru1'
_symmetry_space_group_name_H-M 'P 1'
_symmetry_Int_Tables_number 1
_symmetry_space_group_name_Hall 'P 1'
_cell_length_a 4.115
_cell_length_b 4.115
_cell_length_c 10.046
_cell_angle_alpha 78.18
_cell_angle_beta 78.18
_cell_angle_gamma 60.00
loop_
_atom_site_label
_atom_site_fract_x
_atom_site_fract_y
_atom_site_fract_z
La1 0.217 0.217 0.349
La2 0.783 0.783 0.651
Sr1 0.000 0.000 0.000
Ru1 0.500 0.500 0.500

---

Which value of total magnetization does entry 1 give?
0.0 μB/f.u.

---

The highest DFT total energy belongs to which entry?
Sr2LaRu